Record 1
A plane-wave DFT calculation with PBE was carried out for Li2ZrPt after structural relaxation.

Computed properties:
Formation energy from the elements = -0.233 eV per atom
Polymorph energy (0 for the lowest one) = 226 meV per atom

Cell: 6.2081 6.2081 6.2081 Å, 90.00 90.00 90.00°
Space group Fm-3m (No. 225)
Symmetry-distinct sites (fractional):
1 Li 0.2500 0.2500 0.2500 [8 per cell]
2 Zr 0.0000 0.0000 0.0000 [4 per cell]
3 Pt 0.0000 0.0000 0.5000 [4 per cell]

***

Record 2
A plane-wave DFT calculation with PBE was carried out for LiZr2Pt8 after structural relaxation.

Computed properties:
Formation energy from the elements = -0.704 eV per atom

Cell: 3.9703 8.0801 11.7056 Å, 90.00 90.00 90.00°
Space group Immm (No. 71)
Symmetry-distinct sites (fractional):
1 Li 0.0000 0.0000 0.0000 [2 per cell]
2 Zr 0.0000 0.0000 0.3435 [4 per cell]
3 Pt 0.0000 0.2480 0.1616 [8 per cell]
4 Pt 0.0000 0.2576 0.5000 [4 per cell]
5 Pt 0.0000 0.5000 0.3256 [4 per cell]

***

Record 3
A plane-wave DFT calculation with PBE was carried out for LiZrPt after structural relaxation.

Computed properties:
Formation energy from the elements = -0.578 eV per atom
Polymorph energy (0 for the lowest one) = 116 meV per atom

Cell: 6.3693 6.8759 10.9173 Å, 90.00 90.00 90.00°
Space group Fmmm (No. 69)
Symmetry-distinct sites (fractional):
1 Li 0.0000 0.1732 0.0000 [8 per cell]
2 Zr 0.2500 0.2500 0.2500 [8 per cell]
3 Pt 0.0000 0.0000 0.3763 [8 per cell]

***

Record 4
A plane-wave DFT calculation with PBE was carried out for Li5ZrPt6 after structural relaxation.

Computed properties:
Formation energy from the elements = -0.694 eV per atom

Cell: 4.6022 5.7461 6.6858 Å, 90.00 96.46 90.00°
Space group P2/m (No. 10)
Symmetry-distinct sites (fractional):
1 Li 0.0000 0.0000 0.0000 [1 per cell]
2 Li 0.3446 0.0000 0.6696 [2 per cell]
3 Li 0.3591 0.5000 0.6590 [2 per cell]
4 Zr 0.0000 0.5000 0.0000 [1 per cell]
5 Pt 0.1538 0.2439 0.3367 [4 per cell]
6 Pt 0.5000 0.2391 0.0000 [2 per cell]

***

Record 5
A plane-wave DFT calculation with PBE was carried out for Li2ZrPt after structural relaxation.

Computed properties:
Formation energy from the elements = -0.180 eV per atom
Polymorph energy (0 for the lowest one) = 279 meV per atom

Cell: 3.4106 3.4106 5.5354 Å, 90.00 90.00 90.00°
Space group P4/mmm (No. 123)
Symmetry-distinct sites (fractional):
1 Li 0.0000 0.0000 0.2004 [2 per cell]
2 Zr 0.5000 0.5000 0.5000 [1 per cell]
3 Pt 0.5000 0.5000 0.0000 [1 per cell]

***

Record 6
A plane-wave DFT calculation with PBE was carried out for Li2ZrPt after structural relaxation.

Computed properties:
Formation energy from the elements = -0.161 eV per atom
Polymorph energy (0 for the lowest one) = 298 meV per atom

Cell: 2.9661 4.7720 9.7730 Å, 90.00 90.00 90.00°
Space group Cmmm (No. 65)
Symmetry-distinct sites (fractional):
1 Li 0.0000 0.0000 0.2132 [4 per cell]
2 Zr 0.0000 0.5000 0.5000 [2 per cell]
3 Pt 0.0000 0.5000 0.0000 [2 per cell]

***

Record 7
A plane-wave DFT calculation with PBE was carried out for LiZr2Pt after structural relaxation.

Computed properties:
Formation energy from the elements = -0.121 eV per atom

Cell: 3.1186 3.1186 28.5524 Å, 90.00 90.00 120.00°
Space group R-3m (No. 166, hexagonal axes)
Symmetry-distinct sites (fractional):
1 Li 0.0000 0.0000 0.0000 [3 per cell]
2 Zr 0.0000 0.0000 0.2449 [6 per cell]
3 Pt 0.0000 0.0000 0.5000 [3 per cell]

***

Record 8
A plane-wave DFT calculation with PBE was carried out for Li2ZrPt after structural relaxation.

Computed properties:
Formation energy from the elements = -0.289 eV per atom
Polymorph energy (0 for the lowest one) = 170 meV per atom

Cell: 9.5345 2.9527 5.0656 Å, 90.00 104.59 90.00°
Space group Cm (No. 8)
Symmetry-distinct sites (fractional):
1 Li 0.0000 0.0000 0.0000 [2 per cell]
2 Li 0.2389 0.0000 0.8294 [2 per cell]
3 Zr 0.2801 0.5000 0.3579 [2 per cell]
4 Pt 0.0334 0.5000 0.5332 [2 per cell]

***

Record 9
A plane-wave DFT calculation with PBE was carried out for LiZr2Pt after structural relaxation.

Computed properties:
Formation energy from the elements = -0.240 eV per atom

Cell: 6.6080 6.6080 6.6080 Å, 90.00 90.00 90.00°
Space group F-43m (No. 216)
Symmetry-distinct sites (fractional):
1 Li 0.0000 0.0000 0.0000 [4 per cell]
2 Zr 0.0000 0.0000 0.5000 [4 per cell]
3 Zr 0.2500 0.2500 0.7500 [4 per cell]
4 Pt 0.2500 0.2500 0.2500 [4 per cell]

***

Record 10
A plane-wave DFT calculation with PBE was carried out for LiZrPt3 after structural relaxation.

Computed properties:
Formation energy from the elements = 0.409 eV per atom
Polymorph energy (0 for the lowest one) = 1127 meV per atom

Cell: 5.0161 5.0161 5.0161 Å, 90.00 90.00 90.00°
Space group Pm-3m (No. 221)
Symmetry-distinct sites (fractional):
1 Li 0.0000 0.0000 0.0000 [1 per cell]
2 Zr 0.5000 0.5000 0.5000 [1 per cell]
3 Pt 0.0000 0.5000 0.5000 [3 per cell]

***

Record 11
A plane-wave DFT calculation with PBE was carried out for Li2ZrPt after structural relaxation.

Computed properties:
Formation energy from the elements = -0.405 eV per atom
Polymorph energy (0 for the lowest one) = 54 meV per atom

Cell: 3.7365 3.8999 4.7721 Å, 90.00 90.00 90.00°
Space group Pmmm (No. 47)
Symmetry-distinct sites (fractional):
1 Li 0.0000 0.0000 0.0000 [1 per cell]
2 Li 0.5000 0.5000 0.0000 [1 per cell]
3 Zr 0.0000 0.5000 0.5000 [1 per cell]
4 Pt 0.5000 0.0000 0.5000 [1 per cell]

***

Record 12
A plane-wave DFT calculation with PBE was carried out for LiZrPt2 after structural relaxation.

Computed properties:
Formation energy from the elements = -0.814 eV per atom
Polymorph energy (0 for the lowest one) = 86 meV per atom

Cell: 4.1899 4.1899 3.7159 Å, 90.00 90.00 90.00°
Space group P4/mmm (No. 123)
Symmetry-distinct sites (fractional):
1 Li 0.0000 0.0000 0.0000 [1 per cell]
2 Zr 0.5000 0.5000 0.0000 [1 per cell]
3 Pt 0.0000 0.5000 0.5000 [2 per cell]

***

Record 13
A plane-wave DFT calculation with PBE was carried out for Li2ZrPt after structural relaxation.

Computed properties:
Formation energy from the elements = -0.344 eV per atom
Polymorph energy (0 for the lowest one) = 115 meV per atom

Cell: 2.9891 4.9039 4.7597 Å, 90.00 92.91 90.00°
Space group P2/m (No. 10)
Symmetry-distinct sites (fractional):
1 Li 0.1885 0.0000 0.2777 [2 per cell]
2 Zr 0.5000 0.5000 0.0000 [1 per cell]
3 Pt 0.0000 0.5000 0.5000 [1 per cell]

***

Record 14
A plane-wave DFT calculation with PBE was carried out for LiZr2Pt after structural relaxation.

Computed properties:
Formation energy from the elements = -0.274 eV per atom

Cell: 2.9682 2.9682 9.2152 Å, 90.00 90.00 90.00°
Space group P4/mmm (No. 123)
Symmetry-distinct sites (fractional):
1 Li 0.0000 0.0000 0.0000 [1 per cell]
2 Zr 0.5000 0.5000 0.2820 [2 per cell]
3 Pt 0.0000 0.0000 0.5000 [1 per cell]

***

Record 15
A plane-wave DFT calculation with PBE was carried out for Li2ZrPt after structural relaxation.

Computed properties:
Formation energy from the elements = -0.137 eV per atom
Polymorph energy (0 for the lowest one) = 322 meV per atom

Cell: 2.8666 2.8666 8.0501 Å, 90.00 90.00 90.00°
Space group P4/mmm (No. 123)
Symmetry-distinct sites (fractional):
1 Li 0.0000 0.0000 0.1980 [2 per cell]
2 Zr 0.5000 0.5000 0.5000 [1 per cell]
3 Pt 0.5000 0.5000 0.0000 [1 per cell]

***

Record 16
A plane-wave DFT calculation with PBE was carried out for Li2Zr2Pt3 after structural relaxation.

Computed properties:
Formation energy from the elements = -0.775 eV per atom

Cell: 8.0554 4.6598 7.3914 Å, 90.00 111.12 90.00°
Space group C2/m (No. 12)
Symmetry-distinct sites (fractional):
1 Li 0.1332 0.0000 0.4005 [4 per cell]
2 Zr 0.1108 0.5000 0.8320 [4 per cell]
3 Pt 0.0000 0.0000 0.0000 [2 per cell]
4 Pt 0.2411 0.5000 0.2239 [4 per cell]

***

Record 17
A plane-wave DFT calculation with PBE was carried out for LiZrPt3 after structural relaxation.

Computed properties:
Formation energy from the elements = -0.718 eV per atom
Polymorph energy (0 for the lowest one) = 0 meV per atom

Cell: 4.5479 5.6432 6.6039 Å, 90.00 103.33 90.00°
Space group P2_1/m (No. 11)
Symmetry-distinct sites (fractional):
1 Li 0.1719 0.2500 0.3211 [2 per cell]
2 Zr 0.1719 0.7500 0.2320 [2 per cell]
3 Pt 0.2884 0.5103 0.6397 [4 per cell]
4 Pt 0.3996 0.2500 0.0173 [2 per cell]

***

Record 18
A plane-wave DFT calculation with PBE was carried out for Li2ZrPt after structural relaxation.

Computed properties:
Formation energy from the elements = -0.276 eV per atom
Polymorph energy (0 for the lowest one) = 183 meV per atom

Cell: 5.4996 10.1936 2.9416 Å, 90.00 120.45 90.00°
Space group C2/m (No. 12)
Symmetry-distinct sites (fractional):
1 Li 0.2500 0.2500 0.0000 [4 per cell]
2 Zr 0.0000 0.0000 0.5000 [2 per cell]
3 Pt 0.0000 0.5000 0.5000 [2 per cell]

***

Record 19
A plane-wave DFT calculation with PBE was carried out for LiZrPt2 after structural relaxation.

Computed properties:
Formation energy from the elements = -0.855 eV per atom
Polymorph energy (0 for the lowest one) = 45 meV per atom

Cell: 3.9021 3.9021 8.5302 Å, 90.00 90.00 90.00°
Space group I-4m2 (No. 119)
Symmetry-distinct sites (fractional):
1 Li 0.0000 0.0000 0.0000 [2 per cell]
2 Zr 0.0000 0.5000 0.2500 [2 per cell]
3 Pt 0.0000 0.0000 0.5000 [2 per cell]
4 Pt 0.0000 0.5000 0.7500 [2 per cell]

***

Record 20
A plane-wave DFT calculation with PBE was carried out for Li2ZrPt5 after structural relaxation.

Computed properties:
Formation energy from the elements = -0.747 eV per atom

Cell: 4.1098 4.1098 14.0732 Å, 90.00 90.00 90.00°
Space group I4/mmm (No. 139)
Symmetry-distinct sites (fractional):
1 Li 0.0000 0.0000 0.2493 [4 per cell]
2 Zr 0.0000 0.0000 0.0000 [2 per cell]
3 Pt 0.0000 0.0000 0.5000 [2 per cell]
4 Pt 0.0000 0.5000 0.1388 [8 per cell]